No. 1
Th4NiRuSe2 (PBE-GGA, relaxed); formation energy from raw total energies = -775 kJ/mol of formula units
1.0
7.0088 0.0000 0.0000
0.0000 4.1178 0.0000
-2.3300 0.0000 7.3102
Th Ni Ru Se
4 1 1 2
direct
0.2417 0.0000 0.2145
0.2584 0.5000 0.7840
0.7416 0.5000 0.2160
0.7583 0.0000 0.7855
0.0000 0.5000 0.0000
0.5000 0.0000 0.0000
0.0000 0.0000 0.5000
0.5000 0.5000 0.5000

No. 2
AcDyOs4 (PBE-GGA, relaxed); formation energy from the elements = 0.0174 eV/atom
1.0
0.0000 3.8711 3.8711
3.8711 0.0000 3.8711
3.8711 3.8711 0.0000
Ac Dy Os
1 1 4
direct
0.0000 0.0000 0.0000
0.2500 0.2500 0.2500
0.1268 0.6244 0.6244
0.6244 0.1268 0.6244
0.6244 0.6244 0.1268
0.6244 0.6244 0.6244

No. 3
CaSnH6Ir2 (PBE-GGA, relaxed); total DFT energy (no corrections) = -4.692 eV per atom
1.0
2.2633 1.3067 5.8073
-2.2633 1.3067 5.8073
0.0000 -2.6134 5.8073
Ca Sn H Ir
1 1 6 2
direct
0.0000 0.0000 0.0000
0.5000 0.5000 0.5000
0.0395 0.5644 0.5644
0.4356 0.4356 0.9605
0.4356 0.9605 0.4356
0.5644 0.0395 0.5644
0.5644 0.5644 0.0395
0.9605 0.4356 0.4356
0.2161 0.2161 0.2161
0.7839 0.7839 0.7839

No. 4
Na6TlHg2 (PBE-GGA, relaxed); formation energy from the elements = -0.1351 eV/atom
1.0
7.7165 -5.8356 0.0000
7.7165 5.8356 0.0000
-1.1230 0.0000 5.7109
Na Tl Hg
12 2 4
direct
0.0658 0.8192 0.9791
0.1513 0.3957 0.1483
0.1808 0.9342 0.5209
0.2580 0.5176 0.6874
0.3957 0.1513 0.6483
0.4824 0.7420 0.8126
0.5176 0.2580 0.1874
0.6043 0.8487 0.3517
0.7420 0.4824 0.3126
0.8192 0.0658 0.4791
0.8487 0.6043 0.8517
0.9342 0.1808 0.0209
0.3827 0.6173 0.2500
0.6173 0.3827 0.7500
0.0374 0.2929 0.5886
0.2929 0.0374 0.0886
0.7071 0.9626 0.9114
0.9626 0.7071 0.4114

No. 5
MgTcPt2 (PBE-GGA, relaxed); formation energy from the elements = -0.2054 eV/atom
1.0
4.0329 0.0000 0.0000
0.0000 4.0329 0.0000
0.0000 0.0000 3.8580
Mg Tc Pt
1 1 2
direct
0.0000 0.0000 0.0000
0.5000 0.5000 0.0000
0.0000 0.5000 0.5000
0.5000 0.0000 0.5000

No. 6
AlAsH (PBE-GGA, relaxed); polymorph energy (0 for the lowest one) = 0 meV per atom
1.0
7.5472 0.0000 0.0000
0.0000 4.2023 0.0000
-1.9635 0.0000 6.5538
Al As H
4 4 4
direct
0.0000 0.0000 0.0000
0.1956 0.5000 0.6040
0.5000 0.5000 0.0000
0.6956 0.0000 0.6040
0.1443 0.0000 0.3958
0.1562 0.5000 0.9466
0.6443 0.5000 0.3958
0.6562 0.0000 0.9466
0.3443 0.0000 0.3784
0.4251 0.5000 0.7013
0.8443 0.5000 0.3784
0.9251 0.0000 0.7013